Record 1
The following is a DFT calculation (GGA-PBE) of a relaxed La5Sb2Te2 crystal.

abc: 9.1878 9.1878 8.5311
angles: 90.00 90.00 55.10
Positions (direct):
La  0.0000  0.0000  0.0000
La  0.0253  0.7054  0.6581
La  0.2054  0.5253  0.1581
La  0.2946  0.9747  0.6581
La  0.4747  0.7946  0.1581
La  0.5000  0.5000  0.5000
La  0.5253  0.2054  0.8419
La  0.7054  0.0253  0.3419
La  0.7946  0.4747  0.8419
La  0.9747  0.2946  0.3419
Sb  0.1425  0.8575  0.3579
Sb  0.3575  0.6425  0.8579
Sb  0.6425  0.3575  0.1421
Sb  0.8575  0.1425  0.6421
Te  0.1986  0.1986  0.0000
Te  0.3014  0.3014  0.5000
Te  0.6986  0.6986  0.5000
Te  0.8014  0.8014  0.0000

Calculated values
Size of the total moment: 0.00 μB per formula unit
Symmetry: Cmce

Record 2
The following is a DFT calculation (GGA-PBE) of a relaxed LaSbTe2 crystal.

abc: 7.8734 7.8734 7.8734
angles: 90.00 90.00 90.00
Positions (direct):
La  0.0000  0.0000  0.0000
La  0.0000  0.5000  0.5000
La  0.5000  0.0000  0.5000
La  0.5000  0.5000  0.0000
Sb  0.2500  0.2500  0.7500
Sb  0.2500  0.7500  0.2500
Sb  0.7500  0.2500  0.2500
Sb  0.7500  0.7500  0.7500
Te  0.0000  0.0000  0.5000
Te  0.0000  0.5000  0.0000
Te  0.2500  0.2500  0.2500
Te  0.2500  0.7500  0.7500
Te  0.5000  0.0000  0.0000
Te  0.5000  0.5000  0.5000
Te  0.7500  0.2500  0.7500
Te  0.7500  0.7500  0.2500

Calculated values
Size of the total moment: 0.00 μB per formula unit
Symmetry: F-43m

Record 3
The following is a DFT calculation (GGA-PBE) of a relaxed La2SbTe2 crystal.

abc: 8.8932 8.8932 4.0602
angles: 90.00 90.00 90.00
Positions (direct):
La  0.1657  0.3343  0.0000
La  0.3343  0.8343  0.0000
La  0.6657  0.1657  0.0000
La  0.8343  0.6657  0.0000
Sb  0.0000  0.0000  0.5000
Sb  0.5000  0.5000  0.5000
Te  0.1349  0.6349  0.5000
Te  0.3651  0.1349  0.5000
Te  0.6349  0.8651  0.5000
Te  0.8651  0.3651  0.5000

Calculated values
Size of the total moment: 0.00 μB per formula unit
Symmetry: P4/mbm
Relative energy among the computed polymorphs: 0.189 eV per atom

Record 4
The following is a DFT calculation (GGA-PBE) of a relaxed La3SbTe2 crystal.

abc: 7.9567 7.9567 7.9694
angles: 99.60 99.60 119.91
Positions (direct):
La  0.0000  0.5000  0.0000
La  0.1619  0.3242  0.4993
La  0.3242  0.1619  0.9993
La  0.5000  0.0000  0.5000
La  0.6758  0.8381  0.0007
La  0.8381  0.6758  0.5007
Sb  0.0848  0.9152  0.2500
Sb  0.9152  0.0848  0.7500
Te  0.2515  0.7485  0.7500
Te  0.4169  0.5831  0.2500
Te  0.5831  0.4169  0.7500
Te  0.7485  0.2515  0.2500

Calculated values
Size of the total moment: 0.00 μB per formula unit
Symmetry: C2/c
Relative energy among the computed polymorphs: 0.004 eV per atom

Record 5
The following is a DFT calculation (GGA-PBE) of a relaxed LaSbTe2 crystal.

abc: 4.7133 4.7133 23.2143
angles: 90.00 90.00 90.00
Positions (direct):
La  0.0000  0.0000  0.0000
La  0.0000  0.5000  0.2500
La  0.5000  0.0000  0.7500
La  0.5000  0.5000  0.5000
Sb  0.0000  0.0000  0.5000
Sb  0.0000  0.5000  0.7500
Sb  0.5000  0.0000  0.2500
Sb  0.5000  0.5000  0.0000
Te  0.2472  0.2500  0.1250
Te  0.2500  0.7472  0.3750
Te  0.2500  0.7528  0.8750
Te  0.2528  0.2500  0.6250
Te  0.7472  0.7500  0.6250
Te  0.7500  0.2472  0.8750
Te  0.7500  0.2528  0.3750
Te  0.7528  0.7500  0.1250

Calculated values
Size of the total moment: 0.00 μB per formula unit
Symmetry: I-42d

Record 6
The following is a DFT calculation (GGA-PBE) of a relaxed LaSb4Te crystal.

abc: 6.2885 6.2885 6.2885
angles: 60.00 60.00 60.00
Positions (direct):
La  0.0000  0.0000  0.0000
Sb  0.1300  0.6233  0.6233
Sb  0.6233  0.1300  0.6233
Sb  0.6233  0.6233  0.1300
Sb  0.6233  0.6233  0.6233
Te  0.2500  0.2500  0.2500

Calculated values
Size of the total moment: 0.00 μB per formula unit
Symmetry: F-43m

ΔE_f (raw) across the listed records, respectively: -1.265; -0.404; -1.069; -1.519; -0.629; -0.260 eV per atom.